{"formula": "ZrZn3Sn", "functional": "GGA-PBE", "state": "relaxed", "cell": [[-1.078, 1.721, -4.517], [-4.235, -2.568, 0.033], [-2.330, 3.869, 2.030]], "species": ["Sn", "Zn", "Zn", "Zn", "Zr"], "frac_coords": [[0.000, 0.000, 0.000], [0.000, 0.000, 0.500], [0.000, 0.500, 0.000], [0.500, 0.000, 0.000], [0.500, 0.500, 0.500]], "ef_kj_per_mol_atoms": 79.7, "relative_energy_ev_per_atom": 0.000, "sg": "Pm-3m (221)", "magmom_total_mub_per_atom": 0.000}